Run P
Entry from Alexandria via LeMat-Bulk: a PBEsol-optimized structure of CaMo3P (meta-GGA SCAN).

Lattice parameters (Å, degrees): 4.534 4.534 4.534 90.00 90.00 90.00
Atoms (fractional coordinates):
Ca 0.000 0.000 0.000
Mo 0.000 0.500 0.500
Mo 0.500 0.000 0.500
Mo 0.500 0.500 0.000
P 0.500 0.500 0.500

---

Run Q
Entry from Alexandria via LeMat-Bulk: a PBEsol-optimized structure of CaMo3P (meta-GGA SCAN).

Lattice parameters (Å, degrees): 4.519 4.519 4.519 90.00 90.00 90.00
Atoms (fractional coordinates):
Ca 0.000 0.000 0.000
Mo 0.000 0.000 0.500
Mo 0.000 0.500 0.000
Mo 0.500 0.000 0.000
P 0.500 0.500 0.500

---

Taking the most stable structure as the zero point, the relative energies in kJ/mol of atoms are run P 0.0; run Q 242.9.

---

Run P
Entry from Alexandria via LeMat-Bulk: a PBEsol-optimized structure of CaMoP2 (meta-GGA SCAN).

Lattice parameters (Å, degrees): 3.487 3.911 5.069 90.00 90.00 90.00
Atoms (fractional coordinates):
Ca 0.000 0.000 0.000
Mo 0.500 0.500 0.500
P 0.000 0.000 0.500
P 0.500 0.500 0.000

---

Run Q
Entry from Alexandria via LeMat-Bulk: a PBEsol-optimized structure of CaMoP2 (meta-GGA SCAN).

Lattice parameters (Å, degrees): 5.407 5.407 5.407 139.54 139.54 58.55
Atoms (fractional coordinates):
Ca 0.000 0.000 0.000
Mo 0.750 0.250 0.500
P 0.250 0.750 0.500
P 0.500 0.500 0.000

---

Taking the most stable structure as the zero point, the relative energies in kJ/mol of atoms are run P 0.0; run Q 32.8.

---

Run P
Entry from Alexandria via LeMat-Bulk: a PBEsol-optimized structure of CaMoPt2 (meta-GGA SCAN).

Lattice parameters (Å, degrees): 2.854 2.854 8.215 90.00 90.00 90.00
Atoms (fractional coordinates):
Ca 0.000 0.000 0.000
Mo 0.000 0.000 0.500
Pt 0.500 0.500 0.277
Pt 0.500 0.500 0.723

---

Run Q
Entry from Alexandria via LeMat-Bulk: a PBEsol-optimized structure of CaMoPt2 (meta-GGA SCAN).

Lattice parameters (Å, degrees): 4.908 4.908 2.792 90.00 90.00 90.13
Atoms (fractional coordinates):
Ca 0.000 0.000 0.000
Mo 0.500 0.500 0.000
Pt 0.000 0.500 0.500
Pt 0.500 0.000 0.500

---

Taking the most stable structure as the zero point, the relative energies in kJ/mol of atoms are run P 0.0; run Q 5.9.